Entry 1:
# Nd2Ga3Ru2

A geometry-optimized Nd2Ga3Ru2 structure (PBE, Alexandria).

a b c (Å): 11.941 4.662 6.159
angles (deg): 90.00 96.05 90.00
Space group C2/m (No. 12)
Asymmetric unit:
Nd 0.111 0.000 0.284 (multiplicity 4)
Ga 0.000 0.500 0.000 (multiplicity 2)
Ga 0.178 0.000 0.775 (multiplicity 4)
Ru 0.182 0.500 0.891 (multiplicity 4)

Summary:
Crystal system   monoclinic

=====

Entry 2:
# Ba2Cd4GaHg3

A geometry-optimized Ba2Cd4GaHg3 structure (PBE, Alexandria).

a b c (Å): 4.751 4.751 12.724
angles (deg): 90.00 90.00 90.00
Space group P-4m2 (No. 115)
Asymmetric unit:
Ba 0.000 0.500 0.245 (multiplicity 2)
Cd 0.000 0.000 0.500 (multiplicity 1)
Cd 0.000 0.500 0.872 (multiplicity 2)
Cd 0.500 0.500 0.500 (multiplicity 1)
Ga 0.500 0.500 0.000 (multiplicity 1)
Hg 0.000 0.000 0.000 (multiplicity 1)
Hg 0.000 0.500 0.643 (multiplicity 2)

Summary:
Crystal system   tetragonal

=====

no.,calculated total energy (eV per atom),Fermi-level density of states (states/eV/f.u.)
1,-5.534,4.141
2,-1.461,5.122